Entry 1:
# GGA-PBEsol RbTa3Ru, relaxed
data_RbTa3Ru
_space_group_name_H-M_alt 'P 1'
_space_group_IT_number 1
_space_group_name_Hall 'P 1'
_cell_length_a 4.6399
_cell_length_b 4.6399
_cell_length_c 4.6399
_cell_angle_alpha 90.00
_cell_angle_beta 90.00
_cell_angle_gamma 90.00
loop_
_atom_site_label
_atom_site_fract_x
_atom_site_fract_y
_atom_site_fract_z
Ta1 0.0000 0.5000 0.0000
Ta2 0.5000 0.0000 0.0000
Ta3 0.0000 0.0000 0.5000
Ru1 0.5000 0.5000 0.5000
Rb1 0.0000 0.0000 0.0000
# - SG = Pm-3m, No. 221
# - formation energy from the elements (eV/atom) = 3.3234
# - N(E_F) (states/eV per cell) = 6.15

Entry 2:
# GGA-PBEsol RbTcRu3, relaxed
data_RbTcRu3
_space_group_name_H-M_alt 'P 1'
_space_group_IT_number 1
_space_group_name_Hall 'P 1'
_cell_length_a 4.5207
_cell_length_b 4.5207
_cell_length_c 4.5207
_cell_angle_alpha 90.00
_cell_angle_beta 90.00
_cell_angle_gamma 90.00
loop_
_atom_site_label
_atom_site_fract_x
_atom_site_fract_y
_atom_site_fract_z
Ru1 0.0000 0.0000 0.5000
Ru2 0.0000 0.5000 0.0000
Ru3 0.5000 0.0000 0.0000
Tc1 0.5000 0.5000 0.5000
Rb1 0.0000 0.0000 0.0000
# - SG = Pm-3m, No. 221
# - formation energy from the elements (eV/atom) = 3.4726
# - N(E_F) (states/eV per cell) = 8.33

Entry 3:
# GGA-PBEsol RbYTeRu2, relaxed
data_RbYTeRu2
_space_group_name_H-M_alt 'P 1'
_space_group_IT_number 1
_space_group_name_Hall 'P 1'
_cell_length_a 4.8806
_cell_length_b 4.8806
_cell_length_c 5.6837
_cell_angle_alpha 90.00
_cell_angle_beta 90.00
_cell_angle_gamma 90.00
loop_
_atom_site_label
_atom_site_fract_x
_atom_site_fract_y
_atom_site_fract_z
Te1 0.5000 0.5000 0.5000
Y1 0.0000 0.0000 0.0000
Ru1 0.0000 0.5000 0.0000
Ru2 0.5000 0.0000 0.0000
Rb1 0.0000 0.0000 0.5000
# - ΔE_f (raw) (eV per formula unit) = 7.34
# - SG = P4/mmm, No. 123
# - N(E_F) (states/eV per cell) = 6.76

Entry 4:
# GGA-PBEsol RbTi3Ru, relaxed
data_RbTi3Ru
_space_group_name_H-M_alt 'P 1'
_space_group_IT_number 1
_space_group_name_Hall 'P 1'
_cell_length_a 4.5159
_cell_length_b 4.5159
_cell_length_c 4.5159
_cell_angle_alpha 90.00
_cell_angle_beta 90.00
_cell_angle_gamma 90.00
loop_
_atom_site_label
_atom_site_fract_x
_atom_site_fract_y
_atom_site_fract_z
Rb1 0.0000 0.0000 0.0000
Ti1 0.0000 0.0000 0.5000
Ti2 0.5000 0.0000 0.0000
Ti3 0.0000 0.5000 0.0000
Ru1 0.5000 0.5000 0.5000
# - SG = Pm-3m, No. 221
# - formation energy from the elements (eV/atom) = 2.2064
# - N(E_F) (states/eV per cell) = 8.27

Entry 5:
# GGA-PBEsol Rb2S3, relaxed
data_Rb2S3
_space_group_name_H-M_alt 'P 1'
_space_group_IT_number 1
_space_group_name_Hall 'P 1'
_cell_length_a 6.3871
_cell_length_b 6.3871
_cell_length_c 7.5968
_cell_angle_alpha 90.00
_cell_angle_beta 90.00
_cell_angle_gamma 109.84
loop_
_atom_site_label
_atom_site_fract_x
_atom_site_fract_y
_atom_site_fract_z
S1 0.0673 0.3889 0.1542
S2 0.7971 0.2029 0.0005
S3 0.6111 0.9327 0.1542
S4 0.2029 0.7971 0.5005
S5 0.3889 0.0673 0.6542
S6 0.9327 0.6111 0.6542
Rb1 0.5789 0.4211 0.3102
Rb2 0.1032 0.8968 0.0382
Rb3 0.8968 0.1032 0.5382
Rb4 0.4211 0.5789 0.8102
# - ΔE_f (raw) (eV per formula unit) = -4.08
# - SG = Cmc2_1, No. 36

Entry 6:
# GGA-PBEsol Rb3SbS4, relaxed
data_Rb3SbS4
_space_group_name_H-M_alt 'P 1'
_space_group_IT_number 1
_space_group_name_Hall 'P 1'
_cell_length_a 9.4820
_cell_length_b 9.8642
_cell_length_c 11.0063
_cell_angle_alpha 90.00
_cell_angle_beta 90.00
_cell_angle_gamma 90.00
loop_
_atom_site_label
_atom_site_fract_x
_atom_site_fract_y
_atom_site_fract_z
Rb1 0.5625 0.2028 0.4567
Rb2 0.4375 0.7972 0.9567
Rb3 0.0625 0.2972 0.0433
Rb4 0.6410 0.4244 0.7500
Rb5 0.8590 0.9244 0.2500
Rb6 0.9375 0.7028 0.9567
Rb7 0.0625 0.2972 0.4567
Rb8 0.5625 0.2028 0.0433
Rb9 0.1410 0.0756 0.7500
Rb10 0.3590 0.5756 0.2500
Rb11 0.4375 0.7972 0.5433
Rb12 0.9375 0.7028 0.5433
Sb1 0.7237 0.9823 0.7500
Sb2 0.2763 0.0177 0.2500
Sb3 0.2237 0.5177 0.7500
Sb4 0.7763 0.4823 0.2500
S1 0.1505 0.9635 0.4271
S2 0.3495 0.4635 0.5729
S3 0.3162 0.2529 0.2500
S4 0.6838 0.7471 0.7500
S5 0.5043 0.0951 0.7500
S6 0.8162 0.2471 0.2500
S7 0.8495 0.0365 0.9271
S8 0.6505 0.5365 0.0729
S9 0.3495 0.4635 0.9271
S10 0.6505 0.5365 0.4271
S11 0.1838 0.7529 0.7500
S12 0.8495 0.0365 0.5729
S13 0.0043 0.4049 0.7500
S14 0.9957 0.5951 0.2500
S15 0.4957 0.9049 0.2500
S16 0.1505 0.9635 0.0729
# - ΔE_f (raw) (eV per formula unit) = -7.11
# - SG = Pnma, No. 62
# - N(E_F) (states/eV per cell) = 0.00

no.,total energy (Ry/atom)
1,-0.4738
2,-0.3740
3,-0.3584
4,-0.3694
5,-0.2834
6,-0.2966